1.
Na2Pm5Pb4 after structural relaxation. Source: the Alexandria database, functional GGA-PBE.

Structure (POSCAR):
```
Na2Pm5Pb4
1.0
5.5100 0.0000 0.0000
0.0000 7.4261 -2.3023
-2.7550 -5.6368 10.3921
Na Pm Pb
2 5 4
Direct
0.6421 0.9935 0.2842
0.3579 0.0065 0.7158
0.1515 0.7726 0.3030
0.8485 0.2274 0.6970
0.1674 0.3538 0.3349
0.5000 0.0000 0.0000
0.8326 0.6462 0.6651
0.6864 0.6256 0.3729
0.0147 0.7831 0.0293
0.3136 0.3744 0.6271
0.9853 0.2169 0.9707
```

Summary:
Its symmetry is C2/m. As for the density of states at the Fermi level: 0.5999 states/eV/atom. The calculation puts the energy at -4.057 eV/atom. The value obtained for the energy of formation from the pure elements is -0.31 eV per atom.



2.
NaPmPb3 after structural relaxation. Source: the Alexandria database, functional GGA-PBE.

Structure (POSCAR):
```
NaPmPb3
1.0
6.7312 0.0000 0.0000
0.0000 8.8562 -0.9528
0.0000 -4.5832 10.3908
Na Pm Pb
4 4 12
Direct
0.0560 0.5469 0.1480
0.9440 0.4531 0.8520
0.5560 0.9531 0.3520
0.4440 0.0469 0.6480
0.7680 0.6306 0.4566
0.2320 0.3694 0.5434
0.2680 0.8694 0.0434
0.7320 0.1306 0.9566
0.9825 0.2444 0.2450
0.0175 0.7556 0.7550
0.4825 0.2556 0.2550
0.5175 0.7444 0.7450
0.2678 0.6686 0.4441
0.7322 0.3314 0.5559
0.7678 0.8314 0.0559
0.2322 0.1686 0.9441
0.9410 0.0532 0.6488
0.0590 0.9468 0.3512
0.4410 0.4468 0.8512
0.5590 0.5532 0.1488
```

Summary:
Its symmetry is P2_1/c. As for the density of states at the Fermi level: 0.5175 states/eV/atom. For the polymorph energy (0 for the lowest one), the calculation gives 0 meV per atom. The calculation puts the energy at -3.696 eV/atom. The value obtained for the energy of formation from the pure elements is -0.26 eV per atom.



Q: Among the records above, which one has the lowest energy?
A: Na2Pm5Pb4



Q: Which of these has the lowest energy of formation from the pure elements?
A: Na2Pm5Pb4